(1)
An optimized crystal structure of LaY2Si, computed with PBE.

Values from the calculation:
**Density**: 5.001 g/cm3
**Calculated total energy**: -0.22555 hartree per atom
**Spin magnetization**: 0.00 μB/cell
**Raw formation energy**: -0.32 eV/atom

abc: 6.4621 6.4621 6.4621
angles: 144.87 131.85 60.98
Last column: nearest neighbours and their distance in Å.
Element x y z (fractional)
La (0.0000, 0.0000, 0.0000)  4 Si 3.28, 4 Y 3.45
Y (0.3004, 0.8004, 0.5000)  2 Si 2.96
Y (0.6996, 0.1996, 0.5000)  2 Si 2.96
Si (0.5000, 0.5000, 0.0000)  4 Y 2.96, 4 La 3.28

=====

(2)
An optimized crystal structure of HoThPd6, computed with PBE.

Values from the calculation:
**Density**: 11.926 g/cm3
**Calculated total energy**: -0.23375 hartree per atom
**Spin magnetization**: 0.00 μB/cell

abc: 4.1682 4.1682 8.2990
angles: 90.00 90.00 90.00
Last column: nearest neighbours and their distance in Å.
Element x y z (fractional)
Ho (0.0000, 0.0000, 0.0000)  12 Pd 2.93-2.95
Th (0.0000, 0.0000, 0.5000)  12 Pd 2.95
Pd (0.0000, 0.5000, 0.2477)  8 Pd 2.93-2.95, 2 Ho 2.93, 2 Th 2.95
Pd (0.0000, 0.5000, 0.7523)  8 Pd 2.93-2.95, 2 Ho 2.93, 2 Th 2.95
Pd (0.5000, 0.0000, 0.2477)  8 Pd 2.93-2.95, 2 Ho 2.93, 2 Th 2.95
Pd (0.5000, 0.0000, 0.7523)  8 Pd 2.93-2.95, 2 Ho 2.93, 2 Th 2.95
Pd (0.5000, 0.5000, 0.0000)  8 Pd 2.93, 4 Ho 2.95
Pd (0.5000, 0.5000, 0.5000)  4 Th 2.95, 8 Pd 2.95

=====

(3)
An optimized crystal structure of Er2CdPd, computed with PBE.

Values from the calculation:
**Density**: 9.886 g/cm3
**E above lowest polymorph**: 0.000 eV per atom
**Calculated total energy**: -0.16284 hartree per atom
**Spin magnetization**: 0.00 μB/cell

abc: 3.5633 3.5633 7.3203
angles: 90.00 90.00 90.00
Last column: nearest neighbours and their distance in Å.
Element x y z (fractional)
Er (0.0000, 0.0000, 0.2263)  4 Pd 3.02, 4 Cd 3.22, 1 Er 3.31
Er (0.0000, 0.0000, 0.7737)  4 Pd 3.02, 4 Cd 3.22, 1 Er 3.31
Cd (0.5000, 0.5000, 0.5000)  8 Er 3.22, 4 Cd 3.56
Pd (0.5000, 0.5000, 0.0000)  8 Er 3.02

=====

(4)
An optimized crystal structure of Sr2ZrZn, computed with PBE.

Values from the calculation:
**Density**: 4.159 g/cm3
**Calculated total energy**: -0.11103 hartree per atom
**Spin magnetization**: 0.00 μB/cell

abc: 5.0127 7.0921 7.0921
angles: 31.71 90.00 90.00
Last column: nearest neighbours and their distance in Å.
Element x y z (fractional)
Sr (0.0000, 0.0000, 0.0000)  2 Zr 3.41, 4 Zn 3.50
Sr (0.5000, 0.3116, 0.3116)  2 Zn 3.37, 4 Zr 3.48
Zr (0.0000, 0.7057, 0.7057)  2 Zn 2.83
Zn (0.5000, 0.6098, 0.6098)  2 Zr 2.83

=====

(5)
An optimized crystal structure of Zr2InSb, computed with PBE.

Values from the calculation:
**Density**: 7.612 g/cm3
**E above lowest polymorph**: 0.035 eV per atom
**Calculated total energy**: -0.23301 hartree per atom
**Spin magnetization**: 0.00 μB/cell
**Raw formation energy**: -0.35 eV/atom

abc: 3.3212 3.3212 8.4379
angles: 90.00 90.00 100.87
Last column: nearest neighbours and their distance in Å.
Element x y z (fractional)
Zr (0.0000, 0.0000, 0.2444)  4 Sb 2.95-3.29, 2 In 3.02
Zr (0.0000, 0.0000, 0.7556)  4 Sb 2.95-3.29, 2 In 3.02
In (0.5000, 0.5000, 0.5000)  8 Zr 3.02-3.35, 4 In 3.32
Sb (0.5000, 0.5000, 0.0000)  8 Zr 2.95-3.29

=====

(6)
An optimized crystal structure of Cd3CuC, computed with PBE.

Values from the calculation:
**Density**: 7.195 g/cm3
**E above lowest polymorph**: 0.000 eV per atom
**Calculated total energy**: -0.08577 hartree per atom
**Spin magnetization**: 0.00 μB/cell

abc: 4.5672 4.5672 4.5672
angles: 90.00 90.00 90.00
Last column: nearest neighbours and their distance in Å.
Element x y z (fractional)
Cd (0.0000, 0.0000, 0.5000)  2 C 2.28
Cd (0.0000, 0.5000, 0.0000)  2 C 2.28
Cd (0.5000, 0.0000, 0.0000)  2 C 2.28
Cu (0.5000, 0.5000, 0.5000)  12 Cd 3.23
C (0.0000, 0.0000, 0.0000)  6 Cd 2.28

=====

(7)
An optimized crystal structure of K2Au2I, computed with PBE.

Values from the calculation:
**Density**: 5.985 g/cm3
**E above lowest polymorph**: 0.043 eV per atom
**Calculated total energy**: -0.09154 hartree per atom
**Spin magnetization**: 0.00 μB/cell
**Raw formation energy**: -0.43 eV/atom

abc: 8.5797 8.5797 4.5155
angles: 90.00 90.00 90.00
Last column: nearest neighbours and their distance in Å.
Element x y z (fractional)
K (0.1833, 0.3167, 0.0000)  6 Au 3.36-3.45
K (0.3167, 0.8167, 0.0000)  6 Au 3.36-3.45
K (0.6833, 0.1833, 0.0000)  6 Au 3.36-3.45
K (0.8167, 0.6833, 0.0000)  6 Au 3.36-3.45
Au (0.1117, 0.6117, 0.5000)  1 Au 2.71
Au (0.3883, 0.1117, 0.5000)  1 Au 2.71
Au (0.6117, 0.8883, 0.5000)  1 Au 2.71
Au (0.8883, 0.3883, 0.5000)  1 Au 2.71
I (0.0000, 0.0000, 0.5000)  4 Au 3.47, 8 K 3.87
I (0.5000, 0.5000, 0.5000)  4 Au 3.47, 8 K 3.87

=====

(8)
An optimized crystal structure of Tl2SbIr, computed with PBE.

Values from the calculation:
**Density**: 12.620 g/cm3
**E above lowest polymorph**: 0.398 eV per atom
**Calculated total energy**: -0.14506 hartree per atom
**Spin magnetization**: 0.00 μB/cell
**Raw formation energy**: 0.48 eV/atom

abc: 9.9876 9.9876 9.9876
angles: 19.29 19.29 19.29
Last column: nearest neighbours and their distance in Å.
Element x y z (fractional)
Tl (0.2383, 0.2383, 0.2383)  3 Ir 2.86
Tl (0.7617, 0.7617, 0.7617)  3 Ir 2.86
Sb (0.0000, 0.0000, 0.0000)  6 Sb 3.35, 6 Tl 3.40
Ir (0.5000, 0.5000, 0.5000)  6 Tl 2.86

=====

(9)
An optimized crystal structure of LaPr2Pb9, computed with PBE.

Values from the calculation:
**Density**: 10.421 g/cm3
**Calculated total energy**: -0.16154 hartree per atom
**Spin magnetization**: 0.00 μB/cell

abc: 4.9527 4.9527 14.8467
angles: 90.00 90.00 90.00
Last column: nearest neighbours and their distance in Å.
Element x y z (fractional)
La (0.0000, 0.0000, 0.0000)  12 Pb 3.50-3.51
Pr (0.0000, 0.0000, 0.3328)  12 Pb 3.49-3.51
Pr (0.0000, 0.0000, 0.6672)  12 Pb 3.49-3.51
Pb (0.0000, 0.5000, 0.1673)  2 Pr 3.49, 8 Pb 3.50-3.51, 2 La 3.51
Pb (0.0000, 0.5000, 0.5000)  8 Pb 3.50, 4 Pr 3.51
Pb (0.0000, 0.5000, 0.8327)  2 Pr 3.49, 8 Pb 3.50-3.51, 2 La 3.51
Pb (0.5000, 0.0000, 0.1673)  2 Pr 3.49, 8 Pb 3.50-3.51, 2 La 3.51
Pb (0.5000, 0.0000, 0.5000)  8 Pb 3.50, 4 Pr 3.51
Pb (0.5000, 0.0000, 0.8327)  2 Pr 3.49, 8 Pb 3.50-3.51, 2 La 3.51
Pb (0.5000, 0.5000, 0.0000)  4 La 3.50, 8 Pb 3.51
Pb (0.5000, 0.5000, 0.3338)  8 Pb 3.50, 4 Pr 3.50
Pb (0.5000, 0.5000, 0.6662)  8 Pb 3.50, 4 Pr 3.50